No. 1
# CdH8IrPd2 (PBE, relaxed)
# Total energy: -3.873 eV per atom
# N(E_F): 4.4 states/eV/cell
# Mass density: 8.08 g/cm3
# Magnetic moment: 0.0000 μB per atom
data_CdH8IrPd2
_chemical_formula_sum 'Cd2 H16 Ir2 Pd4'
_cell_length_a 6.146
_cell_length_b 6.369
_cell_length_c 5.518
_cell_angle_alpha 90.00
_cell_angle_beta 90.74
_cell_angle_gamma 90.00
_symmetry_space_group_name_H-M 'C 1 2/m 1'
_symmetry_Int_Tables_number 12
loop_
_symmetry_equiv_pos_as_xyz
'x,y,z'
'-x,-y,-z'
'-x,y,-z'
'x,-y,z'
'x+1/2,y+1/2,z'
'-x+1/2,-y+1/2,-z'
'-x+1/2,y+1/2,-z'
'x+1/2,-y+1/2,z'
loop_
_atom_site_label
_atom_site_fract_x
_atom_site_fract_y
_atom_site_fract_z
_atom_site_occupancy
Cd1 0.000 0.000 0.000 1
H1 0.030 0.211 0.696 1
H2 0.151 0.500 0.044 1
H3 0.217 0.500 0.471 1
Ir1 0.000 0.000 0.500 1
Pd1 0.056 0.500 0.746 1


No. 2
# CdH6Ir2Pd (PBE, relaxed)
# Total energy: -4.284 eV per atom
# N(E_F): 5.8 states/eV/cell
# Mass density: 11.21 g/cm3
# Magnetic moment: 0.0000 μB per atom
data_CdH6Ir2Pd
_chemical_formula_sum 'Cd4 H24 Ir8 Pd4'
_cell_length_a 8.183
_cell_length_b 8.882
_cell_length_c 5.158
_cell_angle_alpha 90.00
_cell_angle_beta 105.71
_cell_angle_gamma 90.00
_symmetry_space_group_name_H-M 'C 1 2/c 1'
_symmetry_Int_Tables_number 15
loop_
_symmetry_equiv_pos_as_xyz
'x,y,z'
'-x,-y,-z'
'-x,y,-z+1/2'
'x,-y,z+1/2'
'x+1/2,y+1/2,z'
'-x+1/2,-y+1/2,-z'
'-x+1/2,y+1/2,-z+1/2'
'x+1/2,-y+1/2,z+1/2'
loop_
_atom_site_label
_atom_site_fract_x
_atom_site_fract_y
_atom_site_fract_z
_atom_site_occupancy
Cd1 0.000 0.160 0.250 1
H1 0.106 0.410 0.122 1
H2 0.185 0.280 0.645 1
H3 0.225 0.009 0.604 1
Ir1 0.179 0.132 0.825 1
Pd1 0.000 0.416 0.750 1


No. 3
# Cd2HIrPd (PBE, relaxed)
# Total energy: -3.860 eV per atom
# N(E_F): 2.1 states/eV/cell
# Mass density: 11.89 g/cm3
# Magnetic moment: 0.0000 μB per atom
data_Cd2HIrPd
_chemical_formula_sum 'Cd2 H1 Ir1 Pd1'
_cell_length_a 4.578
_cell_length_b 4.578
_cell_length_c 3.496
_cell_angle_alpha 90.00
_cell_angle_beta 90.00
_cell_angle_gamma 90.00
_symmetry_space_group_name_H-M 'P 4/m m m'
_symmetry_Int_Tables_number 123
_symmetry_space_group_name_Hall '-P 4 2'
loop_
_atom_site_label
_atom_site_fract_x
_atom_site_fract_y
_atom_site_fract_z
_atom_site_occupancy
Cd1 0.000 0.500 0.000 1
H1 0.000 0.000 0.000 1
Ir1 0.000 0.000 0.500 1
Pd1 0.500 0.500 0.500 1


No. 4
# PmCdH8Ir2 (PBE, relaxed)
# Total energy: -4.239 eV per atom
# N(E_F): 2.5 states/eV/cell
# Mass density: 9.00 g/cm3
# Magnetic moment: 0.0000 μB per atom
data_PmCdH8Ir2
_chemical_formula_sum 'Pm3 Cd3 H24 Ir6'
_cell_length_a 4.8375
_cell_length_b 4.8375
_cell_length_c 17.7429
_cell_angle_alpha 90.00
_cell_angle_beta 90.00
_cell_angle_gamma 120.00
_symmetry_space_group_name_H-M 'R -3'
_symmetry_Int_Tables_number 148
_symmetry_space_group_name_Hall '-R 3'
loop_
_atom_site_label
_atom_site_fract_x
_atom_site_fract_y
_atom_site_fract_z
_atom_site_occupancy
Pm1 0.0000 0.0000 0.0000 1
Cd1 0.0000 0.0000 0.5000 1
H1 0.0000 0.0000 0.3195 1
H2 0.0262 0.2991 0.8962 1
Ir1 0.0000 0.0000 0.2289 1


No. 5
# PrCdH8Ir2 (PBE, relaxed)
# Total energy: -4.244 eV per atom
# N(E_F): 3.4 states/eV/cell
# Mass density: 8.79 g/cm3
# Magnetic moment: 0.0000 μB per atom
data_PrCdH8Ir2
_chemical_formula_sum 'Pr3 Cd3 H24 Ir6'
_cell_length_a 4.8632
_cell_length_b 4.8632
_cell_length_c 17.8671
_cell_angle_alpha 90.00
_cell_angle_beta 90.00
_cell_angle_gamma 120.00
_symmetry_space_group_name_H-M 'R -3'
_symmetry_Int_Tables_number 148
_symmetry_space_group_name_Hall '-R 3'
loop_
_atom_site_label
_atom_site_fract_x
_atom_site_fract_y
_atom_site_fract_z
_atom_site_occupancy
Pr1 0.0000 0.0000 0.0000 1
Cd1 0.0000 0.0000 0.5000 1
H1 0.0000 0.0000 0.3174 1
H2 0.0299 0.2997 0.8940 1
Ir1 0.0000 0.0000 0.2272 1


No. 6
# PrCdH6Ir2 (PBE, relaxed)
# Total energy: -4.620 eV per atom
# N(E_F): 6.0 states/eV/cell
# Mass density: 10.27 g/cm3
# Magnetic moment: 0.0000 μB per atom
data_PrCdH6Ir2
_chemical_formula_sum 'Pr3 Cd3 H18 Ir6'
_cell_length_a 4.7482
_cell_length_b 4.7482
_cell_length_c 15.9927
_cell_angle_alpha 90.00
_cell_angle_beta 90.00
_cell_angle_gamma 120.00
_symmetry_space_group_name_H-M 'R -3 m'
_symmetry_Int_Tables_number 166
_symmetry_space_group_name_Hall '-R 3 2"'
loop_
_atom_site_label
_atom_site_fract_x
_atom_site_fract_y
_atom_site_fract_z
_atom_site_occupancy
Pr1 0.0000 0.0000 0.0000 1
Cd1 0.0000 0.0000 0.5000 1
H1 0.0289 0.5144 0.9444 1
Ir1 0.0000 0.0000 0.2115 1


No. 7
# Cd2H6IrPt (PBE, relaxed)
# Total energy: -3.598 eV per atom
# N(E_F): 1.3 states/eV/cell
# Mass density: 10.43 g/cm3
# Magnetic moment: 0.0000 μB per atom
data_Cd2H6IrPt
_chemical_formula_sum 'Cd2 H6 Ir1 Pt1'
_cell_length_a 4.768
_cell_length_b 4.927
_cell_length_c 5.003
_cell_angle_alpha 68.00
_cell_angle_beta 69.77
_cell_angle_gamma 68.63
_symmetry_space_group_name_H-M 'P -1'
_symmetry_Int_Tables_number 2
loop_
_symmetry_equiv_pos_as_xyz
'x,y,z'
'-x,-y,-z'
loop_
_atom_site_label
_atom_site_fract_x
_atom_site_fract_y
_atom_site_fract_z
_atom_site_occupancy
Cd1 0.205 0.273 0.271 1
H1 0.269 0.247 0.754 1
H2 0.270 0.771 0.245 1
H3 0.307 0.734 0.741 1
Ir1 0.500 0.500 0.500 1
Pt1 0.000 0.000 0.000 1


No. 8
# CdH8IrPt2 (PBE, relaxed)
# Total energy: -4.007 eV per atom
# N(E_F): 2.3 states/eV/cell
# Mass density: 10.65 g/cm3
# Magnetic moment: 0.0000 μB per atom
data_CdH8IrPt2
_chemical_formula_sum 'Cd1 H8 Ir1 Pt2'
_cell_length_a 4.501
_cell_length_b 4.505
_cell_length_c 5.406
_cell_angle_alpha 89.83
_cell_angle_beta 89.82
_cell_angle_gamma 88.67
_symmetry_space_group_name_H-M 'P -1'
_symmetry_Int_Tables_number 2
loop_
_symmetry_equiv_pos_as_xyz
'x,y,z'
'-x,-y,-z'
loop_
_atom_site_label
_atom_site_fract_x
_atom_site_fract_y
_atom_site_fract_z
_atom_site_occupancy
Cd1 0.000 0.000 0.000 1
H1 0.155 0.717 0.691 1
H2 0.271 0.273 0.478 1
H3 0.284 0.847 0.309 1
H4 0.357 0.359 0.074 1
Ir1 0.000 0.000 0.500 1
Pt1 0.412 0.412 0.752 1


Copy entry 3 word for word.
# Cd2HIrPd (PBE, relaxed)
# Total energy: -3.860 eV per atom
# N(E_F): 2.1 states/eV/cell
# Mass density: 11.89 g/cm3
# Magnetic moment: 0.0000 μB per atom
data_Cd2HIrPd
_chemical_formula_sum 'Cd2 H1 Ir1 Pd1'
_cell_length_a 4.578
_cell_length_b 4.578
_cell_length_c 3.496
_cell_angle_alpha 90.00
_cell_angle_beta 90.00
_cell_angle_gamma 90.00
_symmetry_space_group_name_H-M 'P 4/m m m'
_symmetry_Int_Tables_number 123
_symmetry_space_group_name_Hall '-P 4 2'
loop_
_atom_site_label
_atom_site_fract_x
_atom_site_fract_y
_atom_site_fract_z
_atom_site_occupancy
Cd1 0.000 0.500 0.000 1
H1 0.000 0.000 0.000 1
Ir1 0.000 0.000 0.500 1
Pd1 0.500 0.500 0.500 1